# 1
DFT (PBE) results for a relaxed Na2Ag2SbTe4 crystal.

CIF file:
```
data_Na2Ag2SbTe4
_chemical_formula_sum 'Na4 Ag4 Sb2 Te8'
_space_group_name_H-M_alt 'C 1 2/m 1'
_space_group_IT_number 12
_space_group_name_Hall '-C 2y'
_cell_length_a 16.8163
_cell_length_b 4.3249
_cell_length_c 7.8651
_cell_angle_alpha 90.00
_cell_angle_beta 114.58
_cell_angle_gamma 90.00
loop_
_atom_site_label
_atom_site_type_symbol
_atom_site_fract_x
_atom_site_fract_y
_atom_site_fract_z
Na1 Na 0.1386 0.0000 0.0820
Ag1 Ag 0.1888 0.5000 0.4770
Sb1 Sb 0.0000 0.0000 0.5000
Te1 Te 0.0070 0.5000 0.2242
Te2 Te 0.2009 0.0000 0.7250
```

Computed properties:
DFT total energy, Ha/atom: -0.1155



# 2
DFT (PBE) results for a relaxed NaAgSbTe2 crystal.

CIF file:
```
data_NaAgSbTe2
_chemical_formula_sum 'Na1 Ag1 Sb1 Te2'
_space_group_name_H-M_alt 'P 4/m m m'
_space_group_IT_number 123
_space_group_name_Hall '-P 4 2'
_cell_length_a 5.6595
_cell_length_b 5.6595
_cell_length_c 5.2696
_cell_angle_alpha 90.00
_cell_angle_beta 90.00
_cell_angle_gamma 90.00
loop_
_atom_site_label
_atom_site_type_symbol
_atom_site_fract_x
_atom_site_fract_y
_atom_site_fract_z
Na1 Na 0.0000 0.0000 0.0000
Ag1 Ag 0.5000 0.5000 0.5000
Sb1 Sb 0.5000 0.5000 0.0000
Te1 Te 0.0000 0.5000 0.5000
```

Computed properties:
DFT total energy, Ha/atom: -0.1008



# 3
DFT (PBE) results for a relaxed NaAgSbTe3 crystal.

CIF file:
```
data_NaAgSbTe3
_chemical_formula_sum 'Na2 Ag2 Sb2 Te6'
_space_group_name_H-M_alt 'P 1 21/m 1'
_space_group_IT_number 11
_space_group_name_Hall '-P 2yb'
_cell_length_a 9.2083
_cell_length_b 4.3274
_cell_length_c 9.4436
_cell_angle_alpha 90.00
_cell_angle_beta 100.60
_cell_angle_gamma 90.00
loop_
_atom_site_label
_atom_site_type_symbol
_atom_site_fract_x
_atom_site_fract_y
_atom_site_fract_z
Na1 Na 0.1747 0.2500 0.2564
Ag1 Ag 0.0644 0.2500 0.5894
Sb1 Sb 0.3362 0.7500 0.8653
Te1 Te 0.1125 0.2500 0.8997
Te2 Te 0.2483 0.7500 0.5304
Te3 Te 0.4387 0.7500 0.1838
```

Computed properties:
DFT total energy, Ha/atom: -0.1184



# 4
DFT (PBE) results for a relaxed NaAgSb2Te crystal.

CIF file:
```
data_NaAgSb2Te
_chemical_formula_sum 'Na1 Ag1 Sb2 Te1'
_space_group_name_H-M_alt 'P 4/m m m'
_space_group_IT_number 123
_space_group_name_Hall '-P 4 2'
_cell_length_a 5.3946
_cell_length_b 5.3946
_cell_length_c 5.7276
_cell_angle_alpha 90.00
_cell_angle_beta 90.00
_cell_angle_gamma 90.00
loop_
_atom_site_label
_atom_site_type_symbol
_atom_site_fract_x
_atom_site_fract_y
_atom_site_fract_z
Na1 Na 0.0000 0.0000 0.0000
Ag1 Ag 0.5000 0.5000 0.5000
Sb1 Sb 0.0000 0.5000 0.5000
Te1 Te 0.5000 0.5000 0.0000
```

Computed properties:
DFT total energy, Ha/atom: -0.1043



# 5
DFT (PBE) results for a relaxed NaTlAgSb2 crystal.

CIF file:
```
data_NaTlAgSb2
_chemical_formula_sum 'Na1 Tl1 Ag1 Sb2'
_space_group_name_H-M_alt 'P 4/m m m'
_space_group_IT_number 123
_space_group_name_Hall '-P 4 2'
_cell_length_a 5.4098
_cell_length_b 5.4098
_cell_length_c 5.4682
_cell_angle_alpha 90.00
_cell_angle_beta 90.00
_cell_angle_gamma 90.00
loop_
_atom_site_label
_atom_site_type_symbol
_atom_site_fract_x
_atom_site_fract_y
_atom_site_fract_z
Na1 Na 0.0000 0.0000 0.0000
Tl1 Tl 0.5000 0.5000 0.0000
Ag1 Ag 0.0000 0.0000 0.5000
Sb1 Sb 0.0000 0.5000 0.5000
```

Computed properties:
DFT total energy, Ha/atom: -0.1027



# 6
DFT (PBE) results for a relaxed NaTlAgSb2 crystal.

CIF file:
```
data_NaTlAgSb2
_chemical_formula_sum 'Na1 Tl1 Ag1 Sb2'
_space_group_name_H-M_alt 'P 4/m m m'
_space_group_IT_number 123
_space_group_name_Hall '-P 4 2'
_cell_length_a 5.5080
_cell_length_b 5.5080
_cell_length_c 5.1882
_cell_angle_alpha 90.00
_cell_angle_beta 90.00
_cell_angle_gamma 90.00
loop_
_atom_site_label
_atom_site_type_symbol
_atom_site_fract_x
_atom_site_fract_y
_atom_site_fract_z
Na1 Na 0.0000 0.0000 0.0000
Tl1 Tl 0.5000 0.5000 0.5000
Ag1 Ag 0.0000 0.0000 0.5000
Sb1 Sb 0.0000 0.5000 0.0000
```

Computed properties:
DFT total energy, Ha/atom: -0.0878



# 7
DFT (PBE) results for a relaxed NaTmAgSb crystal.

CIF file:
```
data_NaTmAgSb
_chemical_formula_sum 'Na4 Tm4 Ag4 Sb4'
_space_group_name_H-M_alt 'F -4 3 m'
_space_group_IT_number 216
_space_group_name_Hall 'F -4 2 3'
_cell_length_a 7.2903
_cell_length_b 7.2903
_cell_length_c 7.2903
_cell_angle_alpha 90.00
_cell_angle_beta 90.00
_cell_angle_gamma 90.00
loop_
_atom_site_label
_atom_site_type_symbol
_atom_site_fract_x
_atom_site_fract_y
_atom_site_fract_z
Na1 Na 0.0000 0.0000 0.0000
Tm1 Tm 0.0000 0.0000 0.5000
Ag1 Ag 0.2500 0.2500 0.7500
Sb1 Sb 0.2500 0.2500 0.2500
```

Computed properties:
DFT total energy, Ha/atom: -0.1325



# 8
DFT (PBE) results for a relaxed Na2TmAgSb2 crystal.

CIF file:
```
data_Na2TmAgSb2
_chemical_formula_sum 'Na4 Tm2 Ag2 Sb4'
_space_group_name_H-M_alt 'P m c 21'
_space_group_IT_number 26
_space_group_name_Hall 'P 2c -2'
_cell_length_a 4.5072
_cell_length_b 9.1384
_cell_length_c 7.5557
_cell_angle_alpha 90.00
_cell_angle_beta 90.00
_cell_angle_gamma 90.00
loop_
_atom_site_label
_atom_site_type_symbol
_atom_site_fract_x
_atom_site_fract_y
_atom_site_fract_z
Na1 Na 0.0000 0.0669 0.0000
Na2 Na 0.5000 0.1662 0.3135
Tm1 Tm 0.5000 0.4483 0.9241
Ag1 Ag 0.0000 0.3175 0.5889
Sb1 Sb 0.0000 0.3844 0.2077
Sb2 Sb 0.5000 0.1658 0.7228
```

Computed properties:
DFT total energy, Ha/atom: -0.1321



Computed values of formation energy from raw total energies (unit: eV/atom) for the preceding records, in sequence: -0.363 0.172 -0.270 0.272 0.161 0.566 -0.416 -0.560.